Entry 1:
{
  "formula": "Cs3BaPb2Br9",
  "functional": "GGA-PBE",
  "state": "relaxed",
  "lattice": [[-7.633, -0.681, -3.738], [0.621, -0.244, 8.500], [-1.170, 10.920, 0.399]],
  "species": ["Cs", "Cs", "Cs", "Ba", "Pb", "Pb", "Br", "Br", "Br", "Br", "Br", "Br", "Br", "Br", "Br"],
  "frac_coords": [[0.333, 0.667, 0.731], [0.000, 0.000, 0.000], [0.667, 0.333, 0.269], [0.000, 0.000, 0.500], [0.333, 0.667, 0.166], [0.667, 0.333, 0.834], [0.835, 0.165, 0.686], [0.835, 0.670, 0.686], [0.330, 0.165, 0.686], [0.670, 0.835, 0.314], [0.165, 0.330, 0.314], [0.165, 0.835, 0.314], [0.500, 0.000, 0.000], [0.000, 0.500, 0.000], [0.500, 0.500, 0.000]],
  "m_tot_mub_per_atom": 0.00,
  "formation_energy_uncorrected_ev_per_atom": -1.52
}


Entry 2:
{
  "formula": "HoTh2PaP4",
  "functional": "GGA-PBE",
  "state": "relaxed",
  "lattice": [[4.063, 0.000, 0.000], [0.000, 7.019, 0.117], [0.000, -2.457, 6.590]],
  "species": ["Ho", "Th", "Th", "Pa", "P", "P", "P", "P"],
  "frac_coords": [[0.000, 0.000, 0.000], [0.500, 0.000, 0.500], [0.000, 0.500, 0.500], [0.500, 0.500, 0.000], [0.500, 0.249, 0.238], [0.500, 0.751, 0.762], [0.000, 0.255, 0.763], [0.000, 0.745, 0.237]],
  "m_tot_mub_per_atom": 0.00,
  "formation_enthalpy_0k_ev_per_fu": -12.01
}


Entry 3:
{
  "formula": "SrLiPtO3",
  "functional": "GGA-PBE",
  "state": "relaxed",
  "lattice": [[5.389, 0.000, 0.000], [0.000, 5.467, 0.000], [0.000, -2.734, 5.763]],
  "species": ["Sr", "Sr", "Li", "Li", "Pt", "Pt", "O", "O", "O", "O", "O", "O"],
  "frac_coords": [[0.750, 0.286, 0.572], [0.250, 0.714, 0.428], [0.250, 0.423, 0.845], [0.750, 0.577, 0.155], [0.250, 0.003, 0.006], [0.750, 0.997, 0.994], [0.250, 0.260, 0.520], [0.000, 0.271, 0.000], [0.500, 0.729, 0.000], [0.500, 0.271, 0.000], [0.000, 0.729, 0.000], [0.750, 0.740, 0.480]],
  "m_tot_mub_per_atom": 0.05,
  "formation_energy_uncorrected_ev_per_atom": -1.40
}


Entry 4:
{
  "formula": "OsWBr2",
  "functional": "GGA-PBE",
  "state": "relaxed",
  "lattice": [[4.672, 0.000, 0.000], [2.336, 4.046, 0.000], [2.336, 1.349, 3.814]],
  "species": ["Os", "Br", "Br", "W"],
  "frac_coords": [[0.500, 0.500, 0.500], [0.000, 0.000, 0.000], [0.750, 0.750, 0.750], [0.250, 0.250, 0.250]],
  "m_tot_mub_per_atom": 0.05,
  "de_polymorph_ev_per_fu": 5.10,
  "formation_energy_uncorrected_ev_per_atom": 1.48
}


Entry 5:
{
  "formula": "Sr8NiRh2",
  "functional": "GGA-PBE",
  "state": "relaxed",
  "lattice": [[6.577, -0.320, -0.328], [-0.068, 6.545, -5.376], [-0.529, -0.259, 10.318]],
  "species": ["Sr", "Sr", "Sr", "Sr", "Sr", "Sr", "Sr", "Sr", "Ni", "Rh", "Rh"],
  "frac_coords": [[0.317, 0.750, 0.331], [0.683, 0.250, 0.669], [0.801, 0.892, 0.187], [0.269, 0.255, 0.334], [0.224, 0.624, 0.845], [0.199, 0.108, 0.813], [0.731, 0.745, 0.666], [0.776, 0.376, 0.155], [0.000, 0.000, 0.000], [0.141, 0.154, 0.547], [0.859, 0.846, 0.453]],
  "m_tot_mub_per_atom": 0.00,
  "formation_enthalpy_0k_ev_per_fu": -1.13
}


Entry 6:
{
  "formula": "TaReSe2Br",
  "functional": "GGA-PBE",
  "state": "relaxed",
  "lattice": [[-0.951, -4.714, 0.039], [1.121, -0.265, -4.669], [4.893, -0.977, 1.230]],
  "species": ["Re", "Se", "Se", "Br", "Ta"],
  "frac_coords": [[0.000, 0.000, 0.000], [0.000, 0.500, 0.000], [0.500, 0.000, 0.000], [0.000, 0.000, 0.500], [0.500, 0.500, 0.500]],
  "m_tot_mub_per_atom": 0.66,
  "de_polymorph_ev_per_fu": 1.20,
  "formation_energy_uncorrected_ev_per_atom": 1.23
}


Entry 7:
{
  "formula": "Sr2SnGeIr",
  "functional": "GGA-PBE",
  "state": "relaxed",
  "lattice": [[-0.983, -0.089, 5.797], [3.357, -3.690, 0.512], [4.257, 3.981, 0.782]],
  "species": ["Sr", "Sr", "Ge", "Ir", "Sn"],
  "frac_coords": [[0.000, 0.000, 0.500], [0.500, 0.000, 0.000], [0.000, 0.000, 0.000], [0.500, 0.500, 0.500], [0.000, 0.500, 0.000]],
  "m_tot_mub_per_atom": 0.18,
  "formation_enthalpy_0k_ev_per_fu": 2.63
}


Entry 8:
{
  "formula": "Mg3ZnCu2",
  "functional": "GGA-PBE",
  "state": "relaxed",
  "lattice": [[-0.308, -5.018, 3.842], [-0.966, -3.792, -4.972], [5.078, -0.673, -0.473]],
  "species": ["Cu", "Cu", "Cu", "Cu", "Mg", "Mg", "Mg", "Mg", "Mg", "Mg", "Zn", "Zn"],
  "frac_coords": [[0.742, 0.258, 0.000], [0.258, 0.742, 0.500], [0.258, 0.742, 0.000], [0.742, 0.258, 0.500], [0.093, 0.093, 0.750], [0.907, 0.907, 0.250], [0.918, 0.586, 0.750], [0.082, 0.414, 0.250], [0.586, 0.918, 0.750], [0.414, 0.082, 0.250], [0.433, 0.433, 0.750], [0.567, 0.567, 0.250]],
  "m_tot_mub_per_atom": 0.00,
  "de_polymorph_ev_per_fu": 0.00,
  "formation_enthalpy_0k_ev_per_fu": -0.57
}


Entry 9:
{
  "formula": "ScCuO3",
  "functional": "GGA-PBE",
  "state": "relaxed",
  "lattice": [[-3.459, 0.617, -0.575], [-0.643, -5.180, -1.692], [0.602, -1.846, 5.423]],
  "species": ["Sc", "Sc", "Cu", "Cu", "O", "O", "O", "O", "O", "O"],
  "frac_coords": [[0.305, 0.750, 0.610], [0.695, 0.250, 0.390], [0.970, 0.250, 0.941], [0.030, 0.750, 0.059], [0.842, 0.985, 0.683], [0.158, 0.485, 0.317], [0.499, 0.250, 0.998], [0.158, 0.015, 0.317], [0.842, 0.515, 0.683], [0.501, 0.750, 0.002]],
  "m_tot_mub_per_atom": 0.00,
  "formation_energy_uncorrected_ev_per_atom": -1.77
}


Entry 10:
{
  "formula": "La3Dy2HoP6",
  "functional": "GGA-PBE",
  "state": "relaxed",
  "lattice": [[7.168, -0.001, 0.001], [-3.583, 6.209, 0.001], [-1.195, -2.069, 6.757]],
  "species": ["La", "La", "La", "Dy", "Dy", "Ho", "P", "P", "P", "P", "P", "P"],
  "frac_coords": [[0.167, 0.833, 0.500], [0.833, 0.167, 0.500], [0.500, 0.500, 0.500], [0.333, 0.667, 0.000], [0.667, 0.333, 0.000], [0.000, 0.000, 0.000], [0.921, 0.589, 0.764], [0.746, 0.746, 0.236], [0.079, 0.411, 0.236], [0.589, 0.921, 0.764], [0.254, 0.254, 0.764], [0.411, 0.079, 0.236]],
  "m_tot_mub_per_atom": 0.00,
  "formation_enthalpy_0k_ev_per_fu": -18.96
}


Entry 11:
{
  "formula": "Be6VCo2",
  "functional": "GGA-PBE",
  "state": "relaxed",
  "lattice": [[-0.726, -1.719, -1.741], [5.585, -1.835, -2.388], [3.123, -5.173, 1.935]],
  "species": ["Be", "Be", "Be", "Be", "Be", "Be", "V", "Co", "Co"],
  "frac_coords": [[0.677, 0.008, 0.639], [0.323, 0.992, 0.361], [0.323, 0.361, 0.992], [0.500, 0.667, 0.333], [0.500, 0.333, 0.667], [0.677, 0.639, 0.008], [0.000, 0.000, 0.000], [0.860, 0.640, 0.640], [0.140, 0.360, 0.360]],
  "m_tot_mub_per_atom": 0.00,
  "formation_enthalpy_0k_ev_per_fu": -0.78
}


Entry 12:
{
  "formula": "P2OsW",
  "functional": "GGA-PBE",
  "state": "relaxed",
  "lattice": [[7.625, -0.011, -0.006], [7.039, 2.931, -0.006], [7.039, 1.402, 2.575]],
  "species": ["Os", "P", "P", "W"],
  "frac_coords": [[0.740, 0.740, 0.740], [0.001, 0.001, 0.001], [0.251, 0.251, 0.251], [0.508, 0.508, 0.508]],
  "m_tot_mub_per_atom": 0.00,
  "de_polymorph_ev_per_fu": 0.73,
  "formation_enthalpy_0k_ev_per_fu": 0.07
}


no.,calculated volume (Å³ per cell)
1,691.9
2,189.1
3,169.8
4,72.1
5,432.7
6,118.8
7,173.4
8,205.9
9,107.0
10,300.7
11,83.3
12,57.9